Entry 1:
Below is crystalline Li4AgHgPd2 at its relaxed geometry, with properties calculated at the PBE level.

Output
**DFT formation energy**: -370 meV/atom
**D(E_F)**: 0.3354 states/eV per atom

extended XYZ file:
```
8
Lattice="2.193 1.266 7.164 -2.193 1.266 7.164 0.000 -2.532 7.164" Properties=species:S:1:pos:R:3 pbc="T T T"
Li 0.000 0.000 2.650
Li 0.000 0.000 8.029
Li 0.000 0.000 13.463
Li 0.000 0.000 18.842
Ag 0.000 0.000 0.000
Hg 0.000 0.000 10.746
Pd 0.000 0.000 5.381
Pd 0.000 0.000 16.110
```

Entry 2:
Below is crystalline LiAcSi2Ag at its relaxed geometry, with properties calculated at the PBE level.

Output
**Formation energy (no corrections)**: -0.472 eV/atom
**D(E_F)**: 0.3275 states/eV per atom

extended XYZ file:
```
5
Lattice="-2.195 2.195 5.364 2.195 -2.195 5.364 2.195 2.195 -5.364" Properties=species:S:1:pos:R:3 pbc="T T T"
Li 0.000 0.000 0.000
Ac 2.195 0.000 2.682
Si 0.000 2.195 1.488
Si 0.000 2.195 3.876
Ag 0.000 0.000 5.364
```

Entry 3:
Below is crystalline AcRhS2O8 at its relaxed geometry, with properties calculated at the PBE level.

Output
**Formation energy (no corrections)**: -1.573 eV/atom

extended XYZ file:
```
12
Lattice="2.524 1.457 7.238 -2.524 1.457 7.238 0.000 -2.915 7.238" Properties=species:S:1:pos:R:3 pbc="T T T"
Ac 0.000 0.000 0.000
Rh 0.000 0.000 10.857
S 0.000 0.000 5.520
S 0.000 0.000 16.194
O -1.977 -0.143 9.383
O -0.865 -1.784 12.331
O 0.000 0.000 7.049
O 1.113 -1.641 9.383
O -1.113 1.641 12.331
O 0.000 0.000 14.665
O 0.865 1.784 9.383
O 1.977 0.143 12.331
```